[1]
Entry from the Alexandria database: a relaxed structure of Ba2NaCdP (GGA-PBE).

Cell lengths 6.2884, 6.2884, 5.3893 Å; angles 90.00, 90.00, 90.00 degrees
Element x y z (fractional)
1 Ba 0.0000 0.5000 0.0000
2 Ba 0.5000 0.0000 0.0000
3 Cd 0.5000 0.5000 0.5000
4 Na 0.0000 0.0000 0.5000
5 P 0.0000 0.0000 0.0000

**E_form**: -0.402 eV per atom
**Space-group type**: No. 123

[2]
Entry from the Alexandria database: a relaxed structure of Rb2TlGaPt (GGA-PBE).

Cell lengths 6.6279, 4.7269, 6.6279 Å; angles 90.00, 90.00, 90.00 degrees
Element x y z (fractional)
1 Pt 0.0000 0.5000 0.0000
2 Tl 0.5000 0.5000 0.5000
3 Rb 0.5000 0.0000 0.0000
4 Rb 0.0000 0.0000 0.5000
5 Ga 0.0000 0.0000 0.0000

**E_form**: 0.071 eV per atom
**Space-group type**: No. 123

[3]
Entry from the Alexandria database: a relaxed structure of Pm4TmBi (GGA-PBE).

Cell lengths 5.3105, 5.3119, 7.8631 Å; angles 89.89, 89.94, 90.00 degrees
Element x y z (fractional)
1 Pm 0.5012 0.9967 0.2529
2 Pm 0.0009 0.4971 0.2530
3 Pm 0.5014 0.9980 0.7433
4 Pm 0.0016 0.4974 0.7432
5 Tm 0.0014 0.9972 0.4982
6 Bi 0.5013 0.4973 0.9981

**E_form**: 0.151 eV per atom
**Space-group type**: No. 12

[4]
Entry from the Alexandria database: a relaxed structure of LiPdPb3 (GGA-PBE).

Cell lengths 3.9735, 7.2039, 9.7575 Å; angles 61.29, 90.04, 90.07 degrees
Element x y z (fractional)
1 Pb 0.9918 0.4589 0.0637
2 Pb 0.4920 0.2559 0.4051
3 Pb 0.4920 0.8664 0.7948
4 Pb 0.9927 0.6485 0.3771
5 Pb 0.4929 0.4455 0.7185
6 Pb 0.9927 0.0379 0.9874
7 Pd 0.4923 0.6917 0.1412
8 Pd 0.9924 0.2126 0.6410
9 Li 0.9917 0.8850 0.5530
10 Li 0.4930 0.0194 0.2293

**E_form**: -0.209 eV per atom
**Space-group type**: No. 2
**Distance to the lowest polymorph of the same formula**: 0 meV/atom

[5]
Entry from the Alexandria database: a relaxed structure of PuThRh2 (GGA-PBE).

Cell lengths 3.5516, 4.9150, 4.9150 Å; angles 90.00, 90.00, 90.00 degrees
Last column: magnetic moment on the atom in μB.
Element x y z (fractional)
1 Th 0.5000 0.5000 0.5000  0.14
2 Rh 0.0000 0.0000 0.5000  -0.17
3 Rh 0.0000 0.5000 0.0000  -0.17
4 Pu 0.5000 0.0000 0.0000  5.14

**E_form**: -0.591 eV per atom
**Space-group type**: No. 123

[6]
Entry from the Alexandria database: a relaxed structure of InSi2P (GGA-PBE).

Cell lengths 5.0538, 5.0538, 2.8318 Å; angles 90.00, 90.00, 90.01 degrees
Element x y z (fractional)
1 Si 0.5000 0.5000 0.0000
2 Si 0.0000 0.0000 0.0000
3 P 0.0000 0.5000 0.5000
4 In 0.5000 0.0000 0.5000

**Space-group type**: No. 123
**Distance to the lowest polymorph of the same formula**: 499 meV/atom

[7]
Entry from the Alexandria database: a relaxed structure of ErBi2F11 (GGA-PBE).

Cell lengths 8.2155, 8.5238, 8.5238 Å; angles 74.15, 61.19, 61.19 degrees
Element x y z (fractional)
1 F 0.2577 0.3210 0.9680
2 F 0.5000 0.5000 0.5000
3 F 0.7577 0.4680 0.8210
4 F 0.0466 0.1790 0.5320
5 F 0.4534 0.9680 0.3210
6 F 0.3517 0.2941 0.4333
7 F 0.1483 0.0667 0.2059
8 F 0.1308 0.2129 0.7871
9 F 0.6483 0.7059 0.5667
10 F 0.7423 0.6790 0.0320
11 F 0.8517 0.9333 0.7941
12 F 0.8692 0.7871 0.2129
13 F 0.9209 0.4333 0.2941
14 F 0.4209 0.7941 0.9333
15 F 0.0000 0.0000 0.0000
16 F 0.5466 0.0320 0.6790
17 F 0.2423 0.5320 0.1790
18 F 0.0791 0.5667 0.7059
19 F 0.5791 0.2059 0.0667
20 F 0.3692 0.7129 0.2871
21 F 0.6308 0.2871 0.7129
22 F 0.9534 0.8210 0.4680
23 Er 0.7500 0.7500 0.7500
24 Er 0.2500 0.2500 0.2500
25 Bi 0.3538 0.3183 0.6817
26 Bi 0.8538 0.1817 0.8183
27 Bi 0.6462 0.6817 0.3183
28 Bi 0.1462 0.8183 0.1817

**Space-group type**: No. 72
**Energy**: -4.98 eV/atom

[8]
Entry from the Alexandria database: a relaxed structure of Hf4Al2Co (GGA-PBE).

Cell lengths 4.5696, 4.5696, 8.0066 Å; angles 73.42, 73.42, 90.00 degrees
Element x y z (fractional)
1 Al 0.3669 0.3669 0.2661
2 Al 0.6331 0.6331 0.7339
3 Hf 0.0000 0.5000 0.0000
4 Hf 0.5000 0.0000 0.0000
5 Hf 0.8241 0.8241 0.3519
6 Hf 0.1759 0.1759 0.6481
7 Co 0.0000 0.0000 0.0000

**E_form**: 0.189 eV per atom
**Space-group type**: No. 139

[9]
Entry from the Alexandria database: a relaxed structure of LaAl2TcO8 (GGA-PBE).

Cell lengths 4.6427, 4.6420, 6.4665 Å; angles 89.92, 89.92, 87.74 degrees
Last column: magnetic moment on the atom in μB.
Element x y z (fractional)
1 Al 0.4994 0.4994 0.7516  0.00
2 Al 0.5006 0.5006 0.2484  0.00
3 O 0.2950 0.2950 0.9995  -0.01
4 O 0.3348 0.3350 0.5000  0.00
5 O 0.7877 0.2125 0.7973  0.01
6 O 0.2125 0.7877 0.7973  0.01
7 O 0.6652 0.6650 0.5000  0.00
8 O 0.2123 0.7875 0.2027  0.01
9 O 0.7050 0.7050 0.0005  -0.01
10 O 0.7875 0.2123 0.2027  0.01
11 Tc 0.0000 0.0000 0.0000  0.25
12 La 0.0000 0.0000 0.5000  0.00

**Space-group type**: No. 12
**Energy**: -7.42 eV/atom

[10]
Entry from the Alexandria database: a relaxed structure of Ho8Ge3Te3As (GGA-PBE).

Cell lengths 8.3754, 8.3753, 8.4740 Å; angles 119.62, 90.00, 120.00 degrees
Element x y z (fractional)
1 Te 0.0000 0.5000 0.0000
2 Te 0.5000 0.5000 0.0000
3 Te 0.0000 0.0000 0.0000
4 Ho 0.2441 0.9785 0.7226
5 Ho 0.7559 0.0215 0.2774
6 Ho 0.7401 0.4802 0.7203
7 Ho 0.2441 0.4883 0.7226
8 Ho 0.7559 0.5117 0.2774
9 Ho 0.7344 0.9785 0.7226
10 Ho 0.2656 0.0215 0.2774
11 Ho 0.2599 0.5198 0.2797
12 Ge 0.5000 0.5000 0.5000
13 Ge 0.0000 0.5000 0.5000
14 Ge 0.5000 0.0000 0.5000
15 As 0.0000 0.0000 0.5000

**Space-group type**: No. 166
**Energy**: -5.40 eV/atom

[11]
Entry from the Alexandria database: a relaxed structure of TlCrAu3 (GGA-PBE).

Cell lengths 5.2566, 5.2566, 5.2566 Å; angles 90.00, 90.00, 90.00 degrees
Last column: magnetic moment on the atom in μB.
Element x y z (fractional)
1 Au 0.0000 0.5000 0.0000  -0.02
2 Au 0.0000 0.0000 0.5000  -0.02
3 Au 0.5000 0.0000 0.0000  -0.02
4 Tl 0.0000 0.0000 0.0000  -0.01
5 Cr 0.5000 0.5000 0.5000  4.26

**E_form**: 0.969 eV per atom
**Space-group type**: No. 221
**Distance to the lowest polymorph of the same formula**: 232 meV/atom

[12]
Entry from the Alexandria database: a relaxed structure of LaTaSn2I (GGA-PBE).

Cell lengths 5.3698, 5.8178, 5.3698 Å; angles 90.00, 90.00, 90.00 degrees
Element x y z (fractional)
1 Ta 0.0000 0.0000 0.0000
2 La 0.0000 0.5000 0.0000
3 Sn 0.0000 0.0000 0.5000
4 Sn 0.5000 0.0000 0.0000
5 I 0.5000 0.5000 0.5000

**Space-group type**: No. 123
**Energy**: -5.29 eV/atom

[13]
Entry from the Alexandria database: a relaxed structure of SbSe2O (GGA-PBE).

Cell lengths 7.6939, 7.6939, 7.6939 Å; angles 29.88, 29.88, 29.88 degrees
Element x y z (fractional)
1 Se 0.9132 0.9132 0.9132
2 Se 0.0868 0.0868 0.0868
3 O 0.0000 0.0000 0.0000
4 Sb 0.5000 0.5000 0.5000

**Space-group type**: No. 166
**Distance to the lowest polymorph of the same formula**: 0 meV/atom

[14]
Entry from the Alexandria database: a relaxed structure of LaTePb (GGA-PBE).

Cell lengths 5.3727, 5.3727, 3.8747 Å; angles 90.00, 90.00, 120.00 degrees
Element x y z (fractional)
1 Pb 0.6667 0.3333 0.4996
2 La 0.0000 0.0000 0.0002
3 Te 0.3333 0.6667 0.5002

**Space-group type**: No. 187
**Energy**: -4.51 eV/atom

[15]
Entry from the Alexandria database: a relaxed structure of CaHfSc2 (GGA-PBE).

Cell lengths 3.3137, 3.3137, 9.8428 Å; angles 90.00, 90.00, 90.00 degrees
Element x y z (fractional)
1 Hf 0.5000 0.5000 0.0000
2 Sc 0.0000 0.0000 0.2122
3 Sc 0.0000 0.0000 0.7878
4 Ca 0.5000 0.5000 0.5000

**E_form**: 0.129 eV per atom
**Space-group type**: No. 123
**Distance to the lowest polymorph of the same formula**: 0 meV/atom

[16]
Entry from the Alexandria database: a relaxed structure of MgTl2As (GGA-PBE).

Cell lengths 10.9798, 10.9798, 10.9798 Å; angles 17.49, 17.49, 17.49 degrees
Element x y z (fractional)
1 Tl 0.5026 0.5026 0.5026
2 Tl 0.9974 0.9974 0.9974
3 Mg 0.7500 0.7500 0.7500
4 As 0.2500 0.2500 0.2500

**E_form**: 0.190 eV per atom
**Space-group type**: No. 166
**Distance to the lowest polymorph of the same formula**: 308 meV/atom

[17]
Entry from the Alexandria database: a relaxed structure of Dy2H5Rh2 (GGA-PBE).

Cell lengths 5.1091, 5.0678, 8.1737 Å; angles 108.06, 108.21, 90.00 degrees
Element x y z (fractional)
1 Dy 0.1302 0.6399 0.2607
2 Dy 0.6305 0.1399 0.2606
3 Dy 0.3695 0.8792 0.7393
4 Dy 0.8698 0.3792 0.7393
5 Rh 0.2812 0.2596 0.5000
6 Rh 0.5000 0.5095 0.0000
7 Rh 0.0000 0.0095 0.0000
8 Rh 0.7188 0.7596 0.5000
9 H 0.0000 0.0096 0.5000
10 H 0.8595 0.8832 0.7473
11 H 0.0000 0.5096 0.5000
12 H 0.2507 0.7602 0.0015
13 H 0.7493 0.2588 0.9985
14 H 0.3879 0.3832 0.7473
15 H 0.6121 0.6359 0.2527
16 H 0.2507 0.2602 0.0015
17 H 0.1405 0.1359 0.2527
18 H 0.7493 0.7588 0.9985

**Space-group type**: No. 74
**Energy**: -5.13 eV/atom

[18]
Entry from the Alexandria database: a relaxed structure of PmTiAl2 (GGA-PBE).

Cell lengths 3.1402, 3.1402, 9.9699 Å; angles 80.94, 80.94, 60.00 degrees
Last column: magnetic moment on the atom in μB.
Element x y z (fractional)
1 Ti 0.0000 0.0000 0.0000  0.38
2 Al 0.7403 0.7403 0.7791  0.00
3 Al 0.2597 0.2597 0.2209  0.00
4 Pm 0.5000 0.5000 0.5000  -0.02

**E_form**: -0.007 eV per atom
**Space-group type**: No. 166
**Distance to the lowest polymorph of the same formula**: 278 meV/atom

[19]
Entry from the Alexandria database: a relaxed structure of AsRhWBr2 (GGA-PBE).

Cell lengths 5.0614, 5.0614, 4.7705 Å; angles 90.00, 90.00, 90.00 degrees
Last column: magnetic moment on the atom in μB.
Element x y z (fractional)
1 As 0.0000 0.0000 0.5000  -0.20
2 Br 0.0000 0.5000 0.0000  -0.01
3 Br 0.5000 0.0000 0.0000  -0.01
4 Rh 0.0000 0.0000 0.0000  0.01
5 W 0.5000 0.5000 0.5000  3.21

**Space-group type**: No. 123
**Distance to the lowest polymorph of the same formula**: 157 meV/atom

[20]
Entry from the Alexandria database: a relaxed structure of SiPSe (GGA-PBE).

Cell lengths 4.8641, 4.8641, 2.5665 Å; angles 90.00, 90.00, 120.00 degrees
Element x y z (fractional)
1 P 0.0000 0.0000 0.6667
2 Se 0.3333 0.6667 0.6670
3 Si 0.6667 0.3333 0.6663

**Space-group type**: No. 187
**Distance to the lowest polymorph of the same formula**: 414 meV/atom

[21]
Entry from the Alexandria database: a relaxed structure of RbIn4Cl5 (GGA-PBE).

Cell lengths 6.5010, 7.9610, 7.9610 Å; angles 80.40, 65.90, 65.90 degrees
Element x y z (fractional)
1 Cl 0.5022 0.0000 0.0000
2 Cl 0.0952 0.5946 0.2131
3 Cl 0.3082 0.7869 0.5946
4 Cl 0.6897 0.2131 0.4054
5 Cl 0.9028 0.4054 0.7869
6 In 0.6007 0.6011 0.2026
7 In 0.4044 0.3989 0.7974
8 In 0.2018 0.2026 0.3989
9 In 0.8033 0.7974 0.6011
10 Rb 0.0019 0.0000 0.0000

**Space-group type**: No. 79
**Energy**: -3.14 eV/atom

[22]
Entry from the Alexandria database: a relaxed structure of Ta2HgPb (GGA-PBE).

Cell lengths 4.5228, 4.2451, 4.2451 Å; angles 90.00, 90.00, 90.00 degrees
Element x y z (fractional)
1 Ta 0.0000 0.0000 0.0000
2 Ta 0.0000 0.5000 0.5000
3 Hg 0.5000 0.5000 0.0000
4 Pb 0.5000 0.0000 0.5000

**E_form**: 0.586 eV per atom
**Space-group type**: No. 123
**Distance to the lowest polymorph of the same formula**: 263 meV/atom

[23]
Entry from the Alexandria database: a relaxed structure of CaCo2B (GGA-PBE).

Cell lengths 4.4303, 4.4303, 7.3312 Å; angles 72.41, 72.41, 90.00 degrees
Last column: magnetic moment on the atom in μB.
Element x y z (fractional)
1 Co 0.3750 0.6250 0.7500  0.42
2 Co 0.3750 0.6250 0.2500  0.67
3 Co 0.3750 0.1250 0.2500  0.66
4 Co 0.8750 0.6250 0.7500  0.46
5 Ca 0.0000 0.0000 0.0000  -0.03
6 Ca 0.7500 0.2500 0.5000  -0.03
7 B 0.5000 0.5000 0.0000  -0.05
8 B 0.2500 0.7500 0.5000  -0.05

**E_form**: 0.234 eV per atom
**Space-group type**: No. 141

[24]
Entry from the Alexandria database: a relaxed structure of Nd5Sm2Sb5 (GGA-PBE).

Cell lengths 4.4600, 7.6497, 13.0076 Å; angles 107.84, 90.00, 106.95 degrees
Element x y z (fractional)
1 Sb 0.0000 0.0000 0.0000
2 Sb 0.8802 0.7605 0.5705
3 Sb 0.1198 0.2395 0.4295
4 Sb 0.3089 0.6179 0.2062
5 Sb 0.6911 0.3821 0.7938
6 Nd 0.7284 0.4567 0.3466
7 Nd 0.5000 0.0000 0.5000
8 Nd 0.6596 0.3193 0.0412
9 Nd 0.3404 0.6807 0.9588
10 Nd 0.2716 0.5433 0.6534
11 Sm 0.0401 0.0802 0.7850
12 Sm 0.9599 0.9198 0.2150

**Space-group type**: No. 12
**Energy**: -5.41 eV/atom

[25]
Entry from the Alexandria database: a relaxed structure of BeCoRu2 (GGA-PBE).

Cell lengths 2.6948, 2.6948, 6.3139 Å; angles 90.00, 90.00, 90.00 degrees
Element x y z (fractional)
1 Co 0.5000 0.5000 0.7117
2 Ru 0.0000 0.0000 0.9886
3 Ru 0.5000 0.5000 0.2801
4 Be 0.0000 0.0000 0.5197

**E_form**: -0.077 eV per atom
**Space-group type**: No. 99